NiHgTe2, relaxed, DFT GGA-PBE; size of the total moment = 0.0 μB/f.u.; uncorrected formation energy = 0.158 eV per atom; VASP energy = -2.93 eV per atom
1.0
3.153 0.272 0.000
-0.274 3.153 0.000
0.000 0.000 10.419
Hg Ni Te
1 1 2
Direct
0.000 0.000 0.555 Hg
0.500 0.500 0.786 Ni
0.000 0.000 0.906 Te
0.500 0.500 0.253 Te